[1]
DFT (PBE) results for a geometry-optimized CePrTe2N structure.

Cell lengths 4.2047, 4.2047, 16.4612 Å; angles 90.00, 90.00, 90.00 degrees
Sites, in units of the cell vectors:
Ce (0.2500, 0.2500, 0.0626)
Ce (0.7500, 0.7500, 0.9374)
Pr (0.2500, 0.2500, 0.6418)
Pr (0.7500, 0.7500, 0.3582)
Te (0.2500, 0.2500, 0.4199)
Te (0.2500, 0.2500, 0.8233)
Te (0.7500, 0.7500, 0.1767)
Te (0.7500, 0.7500, 0.5801)
N (0.2500, 0.7500, 0.0000)
N (0.7500, 0.2500, 0.0000)

Values from the calculation:
As for the space-group type: P4/nmm. As for the uncorrected formation energy: -1.385 eV per atom.

=====

[2]
DFT (PBE) results for a geometry-optimized ZnO2 structure.

Cell lengths 3.5452, 5.2891, 7.2253 Å; angles 90.00, 91.94, 90.00 degrees
Sites, in units of the cell vectors:
Zn (0.2431, 0.0000, 0.4063)
Zn (0.2444, 0.7404, 0.9077)
Zn (0.7556, 0.2404, 0.0923)
Zn (0.7569, 0.5000, 0.5937)
O (0.2491, 0.0666, 0.0903)
O (0.2501, 0.6738, 0.5902)
O (0.3193, 0.0976, 0.7355)
O (0.3320, 0.6444, 0.2370)
O (0.6680, 0.1444, 0.7630)
O (0.6807, 0.5976, 0.2645)
O (0.7499, 0.1738, 0.4098)
O (0.7509, 0.5666, 0.9097)

Values from the calculation:
As for the space-group type: P2_1. As for the uncorrected formation energy: -0.611 eV per atom.